Entry 1:
First-principles (PBE-GGA) data for CuAg after structural relaxation, as listed in OQMD.

Computed properties:
ΔE_f ... 0.10 eV/atom

abc: 6.195 3.843 6.281
angles: 90.00 90.66 90.00
Space group Pm (No. 6)
Asymmetric unit:
Cu: 0.000 0.000 0.000
Cu: 0.095 0.500 0.701
Cu: 0.195 0.000 0.408
Cu: 0.607 0.000 0.209
Cu: 0.822 0.000 0.610
Ag: 0.296 0.500 0.105
Ag: 0.392 0.000 0.800
Ag: 0.499 0.500 0.499
Ag: 0.716 0.500 0.905
Ag: 0.904 0.500 0.314


Entry 2:
First-principles (PBE-GGA) data for Cu3Ag2 after structural relaxation, as listed in OQMD.

Computed properties:
E above lowest polymorph ... 0.060 eV per atom
ΔE_f ... 0.10 eV/atom

abc: 4.701 7.170 9.417
angles: 102.50 99.68 108.97
Space group P1 (No. 1)
Asymmetric unit:
Cu: 0.000 0.000 0.000
Cu: 0.001 0.506 0.762
Cu: 0.200 0.701 0.051
Cu: 0.214 0.708 0.544
Cu: 0.391 0.898 0.341
Cu: 0.402 0.419 0.095
Cu: 0.408 0.415 0.615
Cu: 0.606 0.113 0.654
Cu: 0.619 0.610 0.910
Cu: 0.801 0.800 0.187
Cu: 0.815 0.323 0.956
Cu: 0.997 0.518 0.239
Ag: 0.016 0.008 0.499
Ag: 0.197 0.208 0.294
Ag: 0.209 0.219 0.809
Ag: 0.407 0.900 0.849
Ag: 0.594 0.610 0.388
Ag: 0.599 0.109 0.146
Ag: 0.801 0.795 0.698
Ag: 0.811 0.320 0.465


Which formula does entry 1 have?
CuAg


Copy entry 2 word for word.
First-principles (PBE-GGA) data for Cu3Ag2 after structural relaxation, as listed in OQMD.

Computed properties:
E above lowest polymorph ... 0.060 eV per atom
ΔE_f ... 0.10 eV/atom

abc: 4.701 7.170 9.417
angles: 102.50 99.68 108.97
Space group P1 (No. 1)
Asymmetric unit:
Cu: 0.000 0.000 0.000
Cu: 0.001 0.506 0.762
Cu: 0.200 0.701 0.051
Cu: 0.214 0.708 0.544
Cu: 0.391 0.898 0.341
Cu: 0.402 0.419 0.095
Cu: 0.408 0.415 0.615
Cu: 0.606 0.113 0.654
Cu: 0.619 0.610 0.910
Cu: 0.801 0.800 0.187
Cu: 0.815 0.323 0.956
Cu: 0.997 0.518 0.239
Ag: 0.016 0.008 0.499
Ag: 0.197 0.208 0.294
Ag: 0.209 0.219 0.809
Ag: 0.407 0.900 0.849
Ag: 0.594 0.610 0.388
Ag: 0.599 0.109 0.146
Ag: 0.801 0.795 0.698
Ag: 0.811 0.320 0.465


Number 2 is which compound?
Cu3Ag2